# 1
{
  "formula": "Tb2PrGa",
  "functional": "PBE",
  "state": "optimized geometry",
  "lattice_angstrom": [[-4.044, -0.129, -1.454], [1.786, -5.941, 1.914], [-3.046, 1.764, 8.317]],
  "species": ["Tb", "Tb", "Tb", "Tb", "Pr", "Pr", "Ga", "Ga"],
  "fractional_positions": [[0.355, 0.710, 0.555], [0.645, 0.290, 0.445], [0.645, 0.290, 0.055], [0.355, 0.710, 0.945], [0.941, 0.881, 0.250], [0.059, 0.119, 0.750], [0.751, 0.502, 0.750], [0.249, 0.498, 0.250]],
  "formation_energy_ev_per_atom": -0.244,
  "m_tot_mub_per_fu": 0.0,
  "e_above_lowest_polymorph_ev_per_fu": 0.15,
  "vol_a3_per_cell": 237.9
}


# 2
{
  "formula": "ZnNi3Ge",
  "functional": "PBE",
  "state": "optimized geometry",
  "lattice_angstrom": [[4.311, 0.000, 0.000], [0.000, 4.311, 0.000], [0.000, 0.000, 4.311]],
  "species": ["Zn", "Ni", "Ni", "Ni", "Ge"],
  "fractional_positions": [[0.500, 0.500, 0.500], [0.000, 0.500, 0.000], [0.000, 0.000, 0.500], [0.500, 0.000, 0.000], [0.000, 0.000, 0.000]],
  "formation_energy_ev_per_atom": 0.499,
  "m_tot_mub_per_fu": 0.0,
  "e_above_lowest_polymorph_ev_per_fu": 1.41,
  "vol_a3_per_cell": 80.1
}


# 3
{
  "formula": "Cr4PW",
  "functional": "PBE",
  "state": "optimized geometry",
  "lattice_angstrom": [[0.550, -2.433, 4.026], [-3.758, -1.959, 2.115], [-0.524, -4.707, 0.012]],
  "species": ["Cr", "Cr", "Cr", "Cr", "W", "P"],
  "fractional_positions": [[0.871, 0.376, 0.376], [0.376, 0.376, 0.871], [0.376, 0.871, 0.376], [0.376, 0.376, 0.376], [0.000, 0.000, 0.000], [0.750, 0.750, 0.750]],
  "formation_energy_ev_per_atom": 0.236,
  "m_tot_mub_per_fu": 0.0,
  "vol_a3_per_cell": 75.1
}


# 4
{
  "formula": "BaHf2Au2",
  "functional": "PBE",
  "state": "optimized geometry",
  "lattice_angstrom": [[-3.850, 2.762, -0.485], [-2.736, -3.520, 1.677], [-2.541, 1.624, 6.028]],
  "species": ["Au", "Au", "Hf", "Hf", "Ba"],
  "fractional_positions": [[0.625, 0.625, 0.750], [0.375, 0.375, 0.250], [0.750, 0.250, 0.500], [0.250, 0.750, 0.500], [0.000, 0.000, 0.000]],
  "formation_energy_ev_per_atom": -0.220,
  "m_tot_mub_per_fu": 0.0,
  "e_above_lowest_polymorph_ev_per_fu": 0.00,
  "vol_a3_per_cell": 132.5
}


# 5
{
  "formula": "PmPrHoHg",
  "functional": "PBE",
  "state": "optimized geometry",
  "lattice_angstrom": [[5.526, 0.000, 0.000], [2.763, 4.785, 0.000], [2.763, 1.595, 4.512]],
  "species": ["Hg", "Pm", "Pr", "Ho"],
  "fractional_positions": [[0.250, 0.250, 0.250], [0.500, 0.500, 0.500], [0.000, 0.000, 0.000], [0.750, 0.750, 0.750]],
  "formation_energy_ev_per_atom": -0.076,
  "m_tot_mub_per_fu": 0.0,
  "e_above_lowest_polymorph_ev_per_fu": 0.63,
  "vol_a3_per_cell": 119.3
}


# 6
{
  "formula": "Na3PrTh2Se6",
  "functional": "PBE",
  "state": "optimized geometry",
  "lattice_angstrom": [[-3.739, -1.003, 6.183], [6.588, -3.026, -0.809], [2.078, 7.194, 0.987]],
  "species": ["Se", "Se", "Se", "Se", "Se", "Se", "Na", "Na", "Na", "Pr", "Th", "Th"],
  "fractional_positions": [[0.578, 0.919, 0.758], [0.081, 0.422, 0.242], [0.919, 0.578, 0.758], [0.740, 0.740, 0.243], [0.260, 0.260, 0.757], [0.422, 0.081, 0.242], [0.165, 0.835, 0.500], [0.500, 0.500, 0.500], [0.835, 0.165, 0.500], [0.000, 0.000, 0.000], [0.333, 0.667, 0.000], [0.667, 0.333, 0.000]],
  "e_form_raw_mev_per_atom": -1547,
  "m_tot_mub_per_fu": 0.0,
  "vol_a3_per_cell": 329.5
}


# 7
{
  "formula": "NdBe2Ir2",
  "functional": "PBE",
  "state": "optimized geometry",
  "lattice_angstrom": [[-2.459, 3.239, -1.037], [-3.112, -1.627, 2.298], [4.287, 1.510, 3.043]],
  "species": ["Ir", "Ir", "Be", "Be", "Nd"],
  "fractional_positions": [[0.750, 0.250, 0.500], [0.250, 0.750, 0.500], [0.657, 0.657, 0.313], [0.343, 0.343, 0.687], [0.000, 0.000, 0.000]],
  "formation_energy_ev_per_atom": -0.612,
  "m_tot_mub_per_fu": 0.0,
  "e_above_lowest_polymorph_ev_per_fu": 0.00,
  "vol_a3_per_cell": 80.9
}


# 8
{
  "formula": "Te8Pd4Pb",
  "functional": "PBE",
  "state": "optimized geometry",
  "lattice_angstrom": [[-6.550, -3.289, -3.563], [-3.805, -6.303, 3.493], [-7.693, 1.356, 3.571]],
  "species": ["Te", "Te", "Te", "Te", "Te", "Te", "Te", "Te", "Pd", "Pd", "Pd", "Pd", "Pb"],
  "fractional_positions": [[0.730, 0.730, 0.809], [0.767, 0.272, 0.193], [0.270, 0.270, 0.191], [0.272, 0.767, 0.193], [0.767, 0.767, 0.193], [0.233, 0.233, 0.807], [0.728, 0.233, 0.807], [0.233, 0.728, 0.807], [0.500, 0.500, 0.000], [0.500, 0.000, 0.000], [0.000, 0.000, 0.000], [0.000, 0.500, 0.000], [0.500, 0.500, 0.500]],
  "e_form_raw_mev_per_atom": -241,
  "m_tot_mub_per_fu": 0.0,
  "vol_a3_per_cell": 413.3
}


# 9
{
  "formula": "SmY2ThBi5",
  "functional": "PBE",
  "state": "optimized geometry",
  "lattice_angstrom": [[-0.682, 5.523, 1.318], [-2.074, 0.994, -5.236], [-11.123, -2.319, 3.966]],
  "species": ["Th", "Bi", "Bi", "Bi", "Bi", "Bi", "Y", "Y", "Sm"],
  "fractional_positions": [[0.000, 0.000, 0.500], [0.000, 0.500, 0.500], [0.500, 0.000, 0.500], [0.500, 0.500, 0.000], [0.000, 0.000, 0.756], [0.000, 0.000, 0.244], [0.500, 0.500, 0.734], [0.500, 0.500, 0.266], [0.000, 0.000, 0.000]],
  "formation_energy_ev_per_atom": 0.177,
  "m_tot_mub_per_fu": 0.0,
  "vol_a3_per_cell": 393.6
}


# 10
{
  "formula": "Ac2HfAgO6",
  "functional": "PBE",
  "state": "optimized geometry",
  "lattice_angstrom": [[5.831, 0.000, -0.260], [0.000, 5.751, 0.000], [-2.607, -2.875, 4.771]],
  "species": ["O", "O", "O", "O", "O", "O", "Hf", "Ac", "Ac", "Ag"],
  "fractional_positions": [[0.677, 0.291, 0.583], [0.831, 0.819, 0.144], [0.323, 0.709, 0.417], [0.831, 0.325, 0.144], [0.169, 0.675, 0.856], [0.169, 0.181, 0.856], [0.000, 0.500, 0.000], [0.770, 0.750, 0.500], [0.230, 0.250, 0.500], [0.500, 0.000, 0.000]],
  "e_form_raw_mev_per_atom": -2738,
  "m_tot_mub_per_fu": 0.9,
  "vol_a3_per_cell": 156.1
}


# 11
{
  "formula": "Sr3ZnAs2O8",
  "functional": "PBE",
  "state": "optimized geometry",
  "lattice_angstrom": [[5.761, 0.000, 0.000], [-2.880, 4.989, 0.000], [0.000, 0.000, 7.294]],
  "species": ["Sr", "Sr", "Sr", "O", "O", "O", "O", "O", "O", "O", "O", "As", "As", "Zn"],
  "fractional_positions": [[0.667, 0.333, 0.364], [0.000, 0.000, 0.000], [0.333, 0.667, 0.636], [0.335, 0.167, 0.686], [0.833, 0.665, 0.686], [0.167, 0.833, 0.314], [0.833, 0.167, 0.686], [0.333, 0.667, 0.955], [0.667, 0.333, 0.045], [0.665, 0.833, 0.314], [0.167, 0.335, 0.314], [0.667, 0.333, 0.799], [0.333, 0.667, 0.201], [0.000, 0.000, 0.500]],
  "e_form_raw_mev_per_atom": -1860,
  "m_tot_mub_per_fu": 0.0,
  "vol_a3_per_cell": 209.6
}


# 12
{
  "formula": "LaPa2BiO8",
  "functional": "PBE",
  "state": "optimized geometry",
  "lattice_angstrom": [[-1.749, -3.415, -0.526], [4.558, -2.639, 1.956], [-2.868, 0.365, 7.177]],
  "species": ["O", "O", "O", "O", "O", "O", "O", "O", "La", "Bi", "Pa", "Pa"],
  "fractional_positions": [[0.500, 0.273, 0.500], [0.000, 0.272, 0.248], [0.500, 0.270, 0.000], [0.000, 0.272, 0.752], [0.000, 0.728, 0.248], [0.500, 0.730, 0.000], [0.000, 0.728, 0.752], [0.500, 0.727, 0.500], [0.000, 0.000, 0.500], [0.000, 0.000, 0.000], [0.500, 0.500, 0.250], [0.500, 0.500, 0.750]],
  "e_form_raw_mev_per_atom": -3165,
  "m_tot_mub_per_fu": 0.0,
  "vol_a3_per_cell": 168.4
}